# NiBO2 (GGA+U, optimized geometry)
data_NiBO2
_symmetry_space_group_name_H-M 'I -4 2 d'
_symmetry_Int_Tables_number 122
_symmetry_space_group_name_Hall 'I -4 2bw'
_cell_length_a 4.379
_cell_length_b 4.379
_cell_length_c 6.780
_cell_angle_alpha 90.00
_cell_angle_beta 90.00
_cell_angle_gamma 90.00
loop_
_atom_site_label
_atom_site_fract_x
_atom_site_fract_y
_atom_site_fract_z
Ni1 0.000 0.000 0.000
B1 0.000 0.000 0.500
O1 0.132 0.250 0.625
# **Total DFT energy (no corrections)**: -6.24 eV/atom
# **Crystal system**: tetragonal
# **Size of the total moment**: 4.00 Bohr magnetons per cell